! CaTaCr2F PBE with a Hubbard U relaxed; values from VASP
! Density = 4.70 Mg/m³
! Space-group type = P4/mmm, No. 123
! Uncorrected energy = -5.581 eV per atom
! Total moment = 6.952 Bohr magnetons per cell
&SYSTEM
  ibrav = 0, nat = 5, ntyp = 4
/
ATOMIC_SPECIES
Cr 52.00 Cr.upf
Ca 40.08 Ca.upf
F 19.00 F.upf
Ta 180.95 Ta.upf
CELL_PARAMETERS angstrom
5.5654 0.0000 0.0000
0.0000 3.9220 0.0000
0.0000 0.0000 5.5654
ATOMIC_POSITIONS crystal
Cr 0.0000 0.0000 0.5000
Cr 0.5000 0.0000 0.0000
Ca 0.0000 0.0000 0.0000
F 0.0000 0.5000 0.0000
Ta 0.5000 0.5000 0.5000